(1)
DFT (GGA-PBE) results for a geometry-optimized CePrGa2Rh2 structure.

Values from the calculation:
Its energy of formation is -0.77 eV per atom. Its space group is P-3m1. For the density of states at the Fermi level, the calculation gives 6.195 states/eV/f.u. The calculation puts the volume at 125.4 Å³ per cell.

Cell: 4.4376 4.4376 7.3513 Å, 90.00 90.00 120.00°
Last column: nearest neighbours and their distance in Å.
Positions (direct):
Ce 0.0000 0.0000 0.0000  6 Rh 3.02, 6 Ga 3.11
Pr 0.0000 0.0000 0.5000  6 Ga 3.19, 6 Rh 3.30
Ga 0.3333 0.6667 0.7592  3 Rh 2.57
Ga 0.6667 0.3333 0.2408  3 Rh 2.57
Rh 0.3333 0.6667 0.2166  3 Ga 2.57
Rh 0.6667 0.3333 0.7834  3 Ga 2.57

***

(2)
DFT (GGA-PBE) results for a geometry-optimized AgBrNF2 structure.

Values from the calculation:
The value obtained for the raw formation energy is 0.44 eV/atom. Its space group is P4/mmm. For the density of states at the Fermi level, the calculation gives 2.247 states/eV/f.u. The calculation puts the volume at 82.3 Å³ per cell.

Cell: 4.7336 4.7336 3.6735 Å, 90.00 90.00 90.00°
Last column: nearest neighbours and their distance in Å.
Positions (direct):
Ag 0.0000 0.0000 0.0000  8 F 3.00, 4 N 3.35
Br 0.5000 0.5000 0.5000  2 N 1.84
N 0.5000 0.5000 0.0000  2 Br 1.84
F 0.0000 0.5000 0.5000  2 Br 2.37
F 0.5000 0.0000 0.5000  2 Br 2.37

***

(3)
DFT (GGA-PBE) results for a geometry-optimized CaFe2Ir structure.

Values from the calculation:
Its energy of formation is 0.27 eV per atom. Its space group is Pm. For the density of states at the Fermi level, the calculation gives 4.498 states/eV/f.u. The calculation puts the volume at 67.0 Å³ per cell.

Cell: 2.7931 4.0365 6.0851 Å, 90.00 102.55 90.00°
Last column: nearest neighbours and their distance in Å.
Positions (direct):
Ca 0.0000 0.0000 0.0000  2 Ca 2.79, 4 Ir 2.99-3.08, 4 Fe 3.02-3.05
Fe 0.5705 0.5000 0.3231  2 Fe 2.44, 1 Ir 2.45
Fe 0.9728 0.0000 0.4990  2 Fe 2.44, 2 Ir 2.51
Ir 0.3912 0.5000 0.6993  3 Fe 2.45-2.51

***

(4)
DFT (GGA-PBE) results for a geometry-optimized ZnCoAs3 structure.

Values from the calculation:
The excess energy over the best structure of this formula in the dataset is 0 meV per atom. Its energy of formation is 0.44 eV per atom. Its space group is Pm-3m. For the density of states at the Fermi level, the calculation gives 5.052 states/eV/f.u. The calculation puts the volume at 98.2 Å³ per cell.

Cell: 4.6131 4.6131 4.6131 Å, 90.00 90.00 90.00°
Last column: nearest neighbours and their distance in Å.
Positions (direct):
Zn 0.0000 0.0000 0.0000  12 As 3.26
Co 0.5000 0.5000 0.5000  6 As 2.31
As 0.0000 0.5000 0.5000  2 Co 2.31
As 0.5000 0.0000 0.5000  2 Co 2.31
As 0.5000 0.5000 0.0000  2 Co 2.31

***

(5)
DFT (GGA-PBE) results for a geometry-optimized TeAsBr2F structure.

Values from the calculation:
The excess energy over the best structure of this formula in the dataset is 114 meV per atom. The value obtained for the raw formation energy is 0.11 eV/atom. Its space group is P4/mmm. For the density of states at the Fermi level, the calculation gives 5.101 states/eV/f.u. The calculation puts the volume at 125.7 Å³ per cell.

Cell: 5.6909 5.6909 3.8813 Å, 90.00 90.00 90.00°
Last column: nearest neighbours and their distance in Å.
Positions (direct):
Te 0.0000 0.0000 0.0000  8 Br 3.44
As 0.5000 0.5000 0.0000  2 F 1.94
Br 0.0000 0.5000 0.5000  2 F 2.85
Br 0.5000 0.0000 0.5000  2 F 2.85
F 0.5000 0.5000 0.5000  2 As 1.94

***

(6)
DFT (GGA-PBE) results for a geometry-optimized RbAg4BrO2 structure.

Values from the calculation:
The value obtained for the raw formation energy is -0.26 eV/atom. Its space group is P4/mmm. For the density of states at the Fermi level, the calculation gives 0.112 states/eV/f.u. The calculation puts the volume at 179.8 Å³ per cell.

Cell: 4.1779 4.1779 10.3017 Å, 90.00 90.00 90.00°
Last column: nearest neighbours and their distance in Å.
Positions (direct):
Rb 0.0000 0.0000 0.0000  8 Ag 3.55, 8 O 3.58
Ag 0.0000 0.5000 0.2791  2 O 2.25
Ag 0.0000 0.5000 0.7209  2 O 2.25
Ag 0.5000 0.0000 0.2791  2 O 2.25
Ag 0.5000 0.0000 0.7209  2 O 2.25
Br 0.0000 0.0000 0.5000  8 Ag 3.09
O 0.5000 0.5000 0.1968  4 Ag 2.25
O 0.5000 0.5000 0.8032  4 Ag 2.25

***

What did the fourth record say?
DFT (GGA-PBE) results for a geometry-optimized ZnCoAs3 structure.

Values from the calculation:
The excess energy over the best structure of this formula in the dataset is 0 meV per atom. Its energy of formation is 0.44 eV per atom. Its space group is Pm-3m. For the density of states at the Fermi level, the calculation gives 5.052 states/eV/f.u. The calculation puts the volume at 98.2 Å³ per cell.

Cell: 4.6131 4.6131 4.6131 Å, 90.00 90.00 90.00°
Last column: nearest neighbours and their distance in Å.
Positions (direct):
Zn 0.0000 0.0000 0.0000  12 As 3.26
Co 0.5000 0.5000 0.5000  6 As 2.31
As 0.0000 0.5000 0.5000  2 Co 2.31
As 0.5000 0.0000 0.5000  2 Co 2.31
As 0.5000 0.5000 0.0000  2 Co 2.31

***

> What is the formula in the sixth record?

RbAg4BrO2